# PBE with a Hubbard U Cd2CuMoO6, optimized geometry
data_Cd2CuMoO6
_space_group_name_H-M_alt 'P 4 m m'
_space_group_IT_number 99
_space_group_name_Hall 'P 4 -2'
_cell_length_a 5.549
_cell_length_b 5.549
_cell_length_c 4.134
_cell_angle_alpha 90.00
_cell_angle_beta 90.00
_cell_angle_gamma 90.00
loop_
_atom_site_label
_atom_site_type_symbol
_atom_site_fract_x
_atom_site_fract_y
_atom_site_fract_z
Cd1 Cd 0.000 0.500 0.000
Cu1 Cu 0.000 0.000 0.606
Mo1 Mo 0.500 0.500 0.573
O1 O 0.000 0.000 0.132
O2 O 0.261 0.261 0.664
O3 O 0.500 0.500 0.133
# Final energy in eV/atom: -5.177